Entry 1:
TcAs2Pb: optimized geometry, PBE.

Geometry as POSCAR:
```
TcAs2Pb
1.0
-3.5418 7.2751 4.9732
-4.9335 4.8452 6.5107
-1.9723 5.7479 7.2991
Pb As Tc
1 2 1
direct
0.4917 0.4917 0.4917
0.0156 0.0156 0.0156
0.2508 0.2508 0.2508
0.7419 0.7419 0.7419
```

Computed properties:
volume = 82.3 Å³/cell
space-group type = R3m, No. 160
ΔH_f (0 K) = 0.29 eV per atom

***

Entry 2:
TcAs2Pb: optimized geometry, PBE.

Geometry as POSCAR:
```
TcAs2Pb
1.0
-3.2624 -2.2398 -2.6673
1.2377 -1.8706 -4.2123
0.2033 -4.7373 -0.5398
As Tc Pb
2 1 1
direct
0.0000 0.0000 0.0000
0.7500 0.7500 0.7500
0.2500 0.2500 0.2500
0.5000 0.5000 0.5000
```

Computed properties:
volume = 76.9 Å³/cell
space-group type = F-43m, No. 216
ΔH_f (0 K) = 0.70 eV per atom